# InCu2MoN

A relaxed InCu2MoN crystal (PBE, Alexandria).

Symmetry: P4/mmm (123)
Electronic total energy in eV/atom: -4.2632
Raw formation energy in meV per atom: 1754

Cell and atoms, written as POSCAR:
```
InCu2MoN
1.0
4.8649 0.0000 0.0000
0.0000 4.8649 0.0000
0.0000 0.0000 4.0176
In Cu Mo N
1 2 1 1
direct
0.0000 0.0000 0.0000 In
0.0000 0.5000 0.0000 Cu
0.5000 0.0000 0.0000 Cu
0.5000 0.5000 0.5000 Mo
0.0000 0.0000 0.5000 N
```